{
  "formula": "Ba2NaHAu",
  "functional": "PBE",
  "state": "optimized geometry",
  "total_energy_ev_per_atom": -2.362,
  "n_ef_per_ev_cell": 3.98,
  "lattice": [[6.523, 0.000, 0.000], [0.000, 6.523, 0.000], [0.000, 0.000, 4.169]],
  "species": ["Ba", "Ba", "Na", "H", "Au"],
  "frac_coords": [[0.000, 0.500, 0.000], [0.500, 0.000, 0.000], [0.000, 0.000, 0.500], [0.500, 0.500, 0.500], [0.500, 0.500, 0.000]]
}

---

{
  "formula": "NaAcZn4",
  "functional": "PBE",
  "state": "optimized geometry",
  "total_energy_ev_per_atom": -1.874,
  "n_ef_per_ev_cell": 5.34,
  "formation_energy_mev_per_atom": -120,
  "lattice": [[0.000, 4.021, 4.021], [4.021, 0.000, 4.021], [4.021, 4.021, 0.000]],
  "species": ["Na", "Ac", "Zn", "Zn", "Zn", "Zn"],
  "frac_coords": [[0.000, 0.000, 0.000], [0.250, 0.250, 0.250], [0.121, 0.626, 0.626], [0.626, 0.121, 0.626], [0.626, 0.626, 0.121], [0.626, 0.626, 0.626]]
}

---

{
  "formula": "ThBiSbPd",
  "functional": "PBE",
  "state": "optimized geometry",
  "total_energy_ev_per_atom": -5.678,
  "e_form_raw_mev_per_atom": -524,
  "n_ef_per_ev_cell": 4.64,
  "lattice": [[4.478, 0.000, 0.000], [0.000, 4.478, 0.000], [0.000, 0.000, 10.918]],
  "species": ["Th", "Th", "Bi", "Bi", "Sb", "Sb", "Pd", "Pd"],
  "frac_coords": [[0.250, 0.250, 0.195], [0.750, 0.750, 0.805], [0.250, 0.750, 0.500], [0.750, 0.250, 0.500], [0.250, 0.250, 0.900], [0.750, 0.750, 0.100], [0.250, 0.250, 0.663], [0.750, 0.750, 0.337]]
}

---

{
  "formula": "CdIn2As",
  "functional": "PBE",
  "state": "optimized geometry",
  "total_energy_ev_per_atom": -2.713,
  "n_ef_per_ev_cell": 1.97,
  "formation_energy_mev_per_atom": 47,
  "lattice": [[9.822, 0.000, 0.000], [0.000, 3.935, 0.000], [-2.162, 0.000, 5.454]],
  "species": ["Cd", "Cd", "In", "In", "In", "In", "As", "As"],
  "frac_coords": [[0.000, 0.000, 0.000], [0.500, 0.500, 0.000], [0.119, 0.500, 0.602], [0.348, 0.500, 0.378], [0.619, 0.000, 0.602], [0.848, 0.000, 0.378], [0.275, 0.000, 0.981], [0.775, 0.500, 0.981]]
}

---

{
  "formula": "NdGaPd6",
  "functional": "PBE",
  "state": "optimized geometry",
  "total_energy_ev_per_atom": -5.305,
  "n_ef_per_ev_cell": 5.25,
  "formation_energy_mev_per_atom": -436,
  "lattice": [[3.996, 0.000, 0.000], [0.000, 3.996, 0.000], [0.000, 0.000, 9.351]],
  "species": ["Nd", "Ga", "Pd", "Pd", "Pd", "Pd", "Pd", "Pd"],
  "frac_coords": [[0.000, 0.000, 0.000], [0.000, 0.000, 0.500], [0.000, 0.500, 0.335], [0.000, 0.500, 0.665], [0.500, 0.000, 0.335], [0.500, 0.000, 0.665], [0.500, 0.500, 0.138], [0.500, 0.500, 0.862]]
}

---

{
  "formula": "La3PrSn2O",
  "functional": "PBE",
  "state": "optimized geometry",
  "total_energy_ev_per_atom": -5.958,
  "e_form_raw_mev_per_atom": -1311,
  "n_ef_per_ev_cell": 12.62,
  "lattice": [[4.828, 0.000, 0.000], [0.000, 4.887, 0.000], [0.000, 0.000, 17.627]],
  "species": ["La", "La", "La", "La", "La", "La", "Pr", "Pr", "Sn", "Sn", "Sn", "Sn", "O", "O"],
  "frac_coords": [[0.000, 0.000, 0.000], [0.000, 0.500, 0.325], [0.000, 0.500, 0.675], [0.500, 0.000, 0.175], [0.500, 0.000, 0.825], [0.500, 0.500, 0.500], [0.000, 0.000, 0.500], [0.500, 0.500, 0.000], [0.000, 0.500, 0.138], [0.000, 0.500, 0.862], [0.500, 0.000, 0.362], [0.500, 0.000, 0.638], [0.000, 0.500, 0.500], [0.500, 0.000, 0.000]]
}

---

{
  "formula": "Ac3Ga2PdO9",
  "functional": "PBE",
  "state": "optimized geometry",
  "total_energy_ev_per_atom": -6.890,
  "e_form_raw_mev_per_atom": -2344,
  "n_ef_per_ev_cell": 2.54,
  "lattice": [[5.683, 0.000, 0.000], [-2.841, 4.921, 0.000], [0.000, 0.000, 6.970]],
  "species": ["Ac", "Ac", "Ac", "Ga", "Ga", "Pd", "O", "O", "O", "O", "O", "O", "O", "O", "O"],
  "frac_coords": [[0.000, 0.000, 0.000], [0.333, 0.667, 0.659], [0.667, 0.333, 0.341], [0.333, 0.667, 0.157], [0.667, 0.333, 0.843], [0.000, 0.000, 0.500], [0.000, 0.500, 0.000], [0.172, 0.345, 0.329], [0.172, 0.828, 0.329], [0.345, 0.172, 0.671], [0.500, 0.000, 0.000], [0.500, 0.500, 0.000], [0.655, 0.828, 0.329], [0.828, 0.172, 0.671], [0.828, 0.655, 0.671]]
}

---

Repeat the fifth record exactly.
{
  "formula": "NdGaPd6",
  "functional": "PBE",
  "state": "optimized geometry",
  "total_energy_ev_per_atom": -5.305,
  "n_ef_per_ev_cell": 5.25,
  "formation_energy_mev_per_atom": -436,
  "lattice": [[3.996, 0.000, 0.000], [0.000, 3.996, 0.000], [0.000, 0.000, 9.351]],
  "species": ["Nd", "Ga", "Pd", "Pd", "Pd", "Pd", "Pd", "Pd"],
  "frac_coords": [[0.000, 0.000, 0.000], [0.000, 0.000, 0.500], [0.000, 0.500, 0.335], [0.000, 0.500, 0.665], [0.500, 0.000, 0.335], [0.500, 0.000, 0.665], [0.500, 0.500, 0.138], [0.500, 0.500, 0.862]]
}

---

- Which formula does entry 4 have?
  CdIn2As

---

Copy entry 6 word for word.
{
  "formula": "La3PrSn2O",
  "functional": "PBE",
  "state": "optimized geometry",
  "total_energy_ev_per_atom": -5.958,
  "e_form_raw_mev_per_atom": -1311,
  "n_ef_per_ev_cell": 12.62,
  "lattice": [[4.828, 0.000, 0.000], [0.000, 4.887, 0.000], [0.000, 0.000, 17.627]],
  "species": ["La", "La", "La", "La", "La", "La", "Pr", "Pr", "Sn", "Sn", "Sn", "Sn", "O", "O"],
  "frac_coords": [[0.000, 0.000, 0.000], [0.000, 0.500, 0.325], [0.000, 0.500, 0.675], [0.500, 0.000, 0.175], [0.500, 0.000, 0.825], [0.500, 0.500, 0.500], [0.000, 0.000, 0.500], [0.500, 0.500, 0.000], [0.000, 0.500, 0.138], [0.000, 0.500, 0.862], [0.500, 0.000, 0.362], [0.500, 0.000, 0.638], [0.000, 0.500, 0.500], [0.500, 0.000, 0.000]]
}